Pr2NdTl3Se6 after structural relaxation. Source: Alexandria, functional PBE-GGA.

Structure (CIF):
```
data_Pr2NdTl3Se6
_cell_length_a 7.532
_cell_length_b 13.042
_cell_length_c 8.147
_cell_angle_alpha 90.00
_cell_angle_beta 107.94
_cell_angle_gamma 90.00
_symmetry_space_group_name_H-M 'C 1 2/m 1'
_symmetry_Int_Tables_number 12
_symmetry_space_group_name_Hall '-C 2y'
loop_
_atom_site_label
_atom_site_fract_x
_atom_site_fract_y
_atom_site_fract_z
_atom_site_occupancy
Pr1 0.000 0.167 0.000 1
Nd1 0.000 0.500 0.000 1
Tl1 0.000 0.000 0.500 1
Tl2 0.000 0.333 0.500 1
Se1 0.236 0.334 0.212 1
Se2 0.239 0.000 0.212 1
```

---

PrNd2TmSe5 after structural relaxation. Source: Alexandria, functional PBE-GGA.

Structure (CIF):
```
data_PrNd2TmSe5
_cell_length_a 5.082
_cell_length_b 5.082
_cell_length_c 11.005
_cell_angle_alpha 90.00
_cell_angle_beta 90.00
_cell_angle_gamma 90.00
_symmetry_space_group_name_H-M 'P 4/m m m'
_symmetry_Int_Tables_number 123
_symmetry_space_group_name_Hall '-P 4 2'
loop_
_atom_site_label
_atom_site_fract_x
_atom_site_fract_y
_atom_site_fract_z
_atom_site_occupancy
Pr1 0.000 0.000 0.000 1
Nd1 0.500 0.500 0.327 1
Tm1 0.000 0.000 0.500 1
Se1 0.000 0.000 0.253 1
Se2 0.000 0.500 0.500 1
Se3 0.500 0.500 0.000 1
```

Summary:
N(E_F) in states/eV/cell: 5.6

---

Pr4Nd3TmSe8 after structural relaxation. Source: Alexandria, functional PBE-GGA.

Structure (CIF):
```
data_Pr4Nd3TmSe8
_cell_length_a 8.4341
_cell_length_b 8.4341
_cell_length_c 20.7771
_cell_angle_alpha 90.00
_cell_angle_beta 90.00
_cell_angle_gamma 120.00
_symmetry_space_group_name_H-M 'R -3 m'
_symmetry_Int_Tables_number 166
_symmetry_space_group_name_Hall '-R 3 2"'
loop_
_atom_site_label
_atom_site_fract_x
_atom_site_fract_y
_atom_site_fract_z
_atom_site_occupancy
Pr1 0.0000 0.0000 0.0000 1
Pr2 0.0000 0.5000 0.0000 1
Nd1 0.0000 0.5000 0.5000 1
Tm1 0.0000 0.0000 0.5000 1
Se1 0.0000 0.0000 0.2489 1
Se2 0.0104 0.5052 0.2464 1
```

Summary:
N(E_F) in states/eV/cell: 30.6

---

Pr3Nd4TmSe8 after structural relaxation. Source: Alexandria, functional PBE-GGA.

Structure (CIF):
```
data_Pr3Nd4TmSe8
_cell_length_a 8.4501
_cell_length_b 8.4501
_cell_length_c 20.6424
_cell_angle_alpha 90.00
_cell_angle_beta 90.00
_cell_angle_gamma 120.00
_symmetry_space_group_name_H-M 'R -3 m'
_symmetry_Int_Tables_number 166
_symmetry_space_group_name_Hall '-R 3 2"'
loop_
_atom_site_label
_atom_site_fract_x
_atom_site_fract_y
_atom_site_fract_z
_atom_site_occupancy
Pr1 0.0000 0.5000 0.0000 1
Nd1 0.0000 0.0000 0.5000 1
Nd2 0.0000 0.5000 0.5000 1
Tm1 0.0000 0.0000 0.0000 1
Se1 0.0000 0.0000 0.2489 1
Se2 0.0118 0.5059 0.7480 1
```

Summary:
N(E_F) in states/eV/cell: 31.0

---

PrNd4TmSe8 after structural relaxation. Source: Alexandria, functional PBE-GGA.

Structure (CIF):
```
data_PrNd4TmSe8
_cell_length_a 8.6525
_cell_length_b 8.6525
_cell_length_c 21.2123
_cell_angle_alpha 90.00
_cell_angle_beta 90.00
_cell_angle_gamma 120.00
_symmetry_space_group_name_H-M 'R 3 m'
_symmetry_Int_Tables_number 160
_symmetry_space_group_name_Hall 'R 3 -2"'
loop_
_atom_site_label
_atom_site_fract_x
_atom_site_fract_y
_atom_site_fract_z
_atom_site_occupancy
Pr1 0.0000 0.0000 0.0000 1
Nd1 0.0000 0.0000 0.3771 1
Nd2 0.0059 0.5030 0.5030 1
Tm1 0.0000 0.0000 0.6273 1
Se1 0.0000 0.0000 0.2437 1
Se2 0.0000 0.0000 0.7548 1
Se3 0.0210 0.5105 0.7557 1
Se4 0.1693 0.3386 0.5841 1
```

Summary:
N(E_F) in states/eV/cell: 24.6

---

Pr2NdTm3Se6 after structural relaxation. Source: Alexandria, functional PBE-GGA.

Structure (CIF):
```
data_Pr2NdTm3Se6
_cell_length_a 18.266
_cell_length_b 4.052
_cell_length_c 8.464
_cell_angle_alpha 90.00
_cell_angle_beta 106.35
_cell_angle_gamma 90.00
_symmetry_space_group_name_H-M 'C 1 2/m 1'
_symmetry_Int_Tables_number 12
_symmetry_space_group_name_Hall '-C 2y'
loop_
_atom_site_label
_atom_site_fract_x
_atom_site_fract_y
_atom_site_fract_z
_atom_site_occupancy
Pr1 0.167 0.000 0.333 1
Nd1 0.000 0.500 0.000 1
Tm1 0.000 0.500 0.500 1
Tm2 0.167 0.000 0.833 1
Se1 0.005 0.000 0.739 1
Se2 0.161 0.500 0.597 1
Se3 0.171 0.500 0.070 1
```

Summary:
N(E_F) in states/eV/cell: 8.8

---

PrNd2Tm3Se6 after structural relaxation. Source: Alexandria, functional PBE-GGA.

Structure (CIF):
```
data_PrNd2Tm3Se6
_cell_length_a 18.222
_cell_length_b 4.050
_cell_length_c 8.442
_cell_angle_alpha 90.00
_cell_angle_beta 106.16
_cell_angle_gamma 90.00
_symmetry_space_group_name_H-M 'C 1 2/m 1'
_symmetry_Int_Tables_number 12
_symmetry_space_group_name_Hall '-C 2y'
loop_
_atom_site_label
_atom_site_fract_x
_atom_site_fract_y
_atom_site_fract_z
_atom_site_occupancy
Pr1 0.000 0.000 0.000 1
Nd1 0.166 0.500 0.333 1
Tm1 0.000 0.000 0.500 1
Tm2 0.166 0.500 0.833 1
Se1 0.004 0.500 0.736 1
Se2 0.162 0.000 0.595 1
Se3 0.172 0.000 0.072 1
```

Summary:
N(E_F) in states/eV/cell: 9.0

---

PrNd4Tm3Se8 after structural relaxation. Source: Alexandria, functional PBE-GGA.

Structure (CIF):
```
data_PrNd4Tm3Se8
_cell_length_a 8.2377
_cell_length_b 8.2377
_cell_length_c 20.7789
_cell_angle_alpha 90.00
_cell_angle_beta 90.00
_cell_angle_gamma 120.00
_symmetry_space_group_name_H-M 'R -3 m'
_symmetry_Int_Tables_number 166
_symmetry_space_group_name_Hall '-R 3 2"'
loop_
_atom_site_label
_atom_site_fract_x
_atom_site_fract_y
_atom_site_fract_z
_atom_site_occupancy
Pr1 0.0000 0.0000 0.0000 1
Nd1 0.0000 0.0000 0.5000 1
Nd2 0.0000 0.5000 0.5000 1
Tm1 0.0000 0.5000 0.0000 1
Se1 0.0000 0.0000 0.2570 1
Se2 0.0108 0.5054 0.2546 1
```

Summary:
N(E_F) in states/eV/cell: 26.6

---

Pr2NdTmSe6 after structural relaxation. Source: Alexandria, functional PBE-GGA.

Structure (CIF):
```
data_Pr2NdTmSe6
_cell_length_a 7.4304
_cell_length_b 7.4304
_cell_length_c 19.7067
_cell_angle_alpha 90.00
_cell_angle_beta 90.00
_cell_angle_gamma 120.00
_symmetry_space_group_name_H-M 'R 3'
_symmetry_Int_Tables_number 146
_symmetry_space_group_name_Hall 'R 3'
loop_
_atom_site_label
_atom_site_fract_x
_atom_site_fract_y
_atom_site_fract_z
_atom_site_occupancy
Pr1 0.0000 0.0000 0.0000 1
Pr2 0.0000 0.0000 0.4973 1
Nd1 0.0000 0.0000 0.2026 1
Tm1 0.0000 0.0000 0.6990 1
Se1 0.0396 0.6903 0.7695 1
Se2 0.0444 0.3679 0.2715 1
```

Summary:
N(E_F) in states/eV/cell: 0.0

---

PrNdTm2Se4 after structural relaxation. Source: Alexandria, functional PBE-GGA.

Structure (CIF):
```
data_PrNdTm2Se4
_cell_length_a 7.033
_cell_length_b 4.041
_cell_length_c 7.409
_cell_angle_alpha 90.00
_cell_angle_beta 108.31
_cell_angle_gamma 90.00
_symmetry_space_group_name_H-M 'P 1 2/m 1'
_symmetry_Int_Tables_number 10
_symmetry_space_group_name_Hall '-P 2y'
loop_
_atom_site_label
_atom_site_fract_x
_atom_site_fract_y
_atom_site_fract_z
_atom_site_occupancy
Pr1 0.000 0.000 0.000 1
Nd1 0.500 0.500 0.000 1
Tm1 0.000 0.500 0.500 1
Tm2 0.500 0.000 0.500 1
Se1 0.244 0.000 0.728 1
Se2 0.259 0.500 0.273 1
```

Summary:
N(E_F) in states/eV/cell: 3.2

---

PrNd2TmSe4 after structural relaxation. Source: Alexandria, functional PBE-GGA.

Structure (CIF):
```
data_PrNd2TmSe4
_cell_length_a 7.265
_cell_length_b 4.117
_cell_length_c 7.338
_cell_angle_alpha 90.00
_cell_angle_beta 108.59
_cell_angle_gamma 90.00
_symmetry_space_group_name_H-M 'P 1 2/m 1'
_symmetry_Int_Tables_number 10
_symmetry_space_group_name_Hall '-P 2y'
loop_
_atom_site_label
_atom_site_fract_x
_atom_site_fract_y
_atom_site_fract_z
_atom_site_occupancy
Pr1 0.000 0.000 0.000 1
Nd1 0.500 0.000 0.500 1
Nd2 0.500 0.500 0.000 1
Tm1 0.000 0.500 0.500 1
Se1 0.236 0.000 0.735 1
Se2 0.245 0.500 0.259 1
```

Summary:
N(E_F) in states/eV/cell: 4.5

---

PrNd3Y2Se6 after structural relaxation. Source: Alexandria, functional PBE-GGA.

Structure (CIF):
```
data_PrNd3Y2Se6
_cell_length_a 7.228
_cell_length_b 12.573
_cell_length_c 7.276
_cell_angle_alpha 90.00
_cell_angle_beta 109.41
_cell_angle_gamma 90.00
_symmetry_space_group_name_H-M 'C 1 2/m 1'
_symmetry_Int_Tables_number 12
_symmetry_space_group_name_Hall '-C 2y'
loop_
_atom_site_label
_atom_site_fract_x
_atom_site_fract_y
_atom_site_fract_z
_atom_site_occupancy
Pr1 0.000 0.000 0.000 1
Nd1 0.000 0.160 0.500 1
Nd2 0.000 0.500 0.500 1
Y1 0.000 0.334 0.000 1
Se1 0.236 0.500 0.239 1
Se2 0.247 0.328 0.756 1
```

Summary:
N(E_F) in states/eV/cell: 11.2

---

| no. | uncorrected formation energy (kcal/mol of atoms) | total magnetization (μB/f.u.) |
| --- | --- | --- |
| 1 | -31.7 | 0.00 |
| 2 | -30.5 | 0.00 |
| 3 | -41.8 | 0.00 |
| 4 | -41.7 | 0.00 |
| 5 | -39.7 | 0.24 |
| 6 | -40.7 | 0.00 |
| 7 | -40.7 | 0.00 |
| 8 | -40.8 | 0.00 |
| 9 | -42.3 | 0.00 |
| 10 | -40.7 | 0.00 |
| 11 | -41.2 | 0.00 |
| 12 | -41.9 | 0.00 |